Record 1
Computed, not measured: a geometry-optimized Rb2AgW2 structure at the GGA-PBE level of DFT.

Unit cell a=10.892 b=10.892 c=2.936 alpha=90.00 beta=90.00 gamma=90.00
Positions (direct):
Rb  0.210  0.290  0.000
Rb  0.290  0.790  0.000
Rb  0.710  0.210  0.000
Rb  0.790  0.710  0.000
Ag  0.000  0.000  0.000
Ag  0.500  0.500  0.000
W  0.072  0.572  0.500
W  0.428  0.072  0.500
W  0.572  0.928  0.500
W  0.928  0.428  0.500

Values from the calculation:
DFT total energy, eV per formula unit: -22.524
Space group: No. 127
Polymorph energy (0 for the lowest one), meV per atom: 597

=====

Record 2
Computed, not measured: a geometry-optimized RbAg2W structure at the GGA-PBE level of DFT.

Unit cell a=5.202 b=5.202 c=5.202 alpha=60.00 beta=60.00 gamma=60.00
Positions (direct):
Rb  0.000  0.000  0.000
Ag  0.250  0.250  0.250
Ag  0.750  0.750  0.750
W  0.500  0.500  0.500

Values from the calculation:
DFT total energy, eV per formula unit: -13.743
Space group: No. 225
Polymorph energy (0 for the lowest one), meV per atom: 43

=====

Record 3
Computed, not measured: a geometry-optimized Rb2AgW2 structure at the GGA-PBE level of DFT.

Unit cell a=12.149 b=12.149 c=12.149 alpha=162.90 beta=162.90 gamma=24.28
Positions (direct):
Rb  0.107  0.107  0.000
Rb  0.893  0.893  0.000
Ag  0.500  0.500  0.000
W  0.250  0.750  0.500
W  0.750  0.250  0.500

Values from the calculation:
DFT total energy, eV per formula unit: -25.511
Space group: No. 139
Polymorph energy (0 for the lowest one), meV per atom: 0

=====

Record 4
Computed, not measured: a geometry-optimized RbAg2W structure at the GGA-PBE level of DFT.

Unit cell a=10.430 b=10.430 c=10.430 alpha=149.44 beta=149.44 gamma=43.76
Positions (direct):
Rb  0.375  0.625  0.750
Rb  0.625  0.375  0.250
Ag  0.000  0.000  0.000
Ag  0.000  0.000  0.500
Ag  0.000  0.500  0.000
Ag  0.500  0.000  0.500
W  0.125  0.875  0.250
W  0.875  0.125  0.750

Values from the calculation:
DFT total energy, eV per formula unit: -13.916
Space group: No. 141
Polymorph energy (0 for the lowest one), meV per atom: 0

=====

Record 5
Computed, not measured: a geometry-optimized Rb2AgW2 structure at the GGA-PBE level of DFT.

Unit cell a=8.651 b=8.651 c=8.651 alpha=151.94 beta=151.94 gamma=40.10
Positions (direct):
Rb  0.250  0.750  0.500
Rb  0.750  0.250  0.500
Ag  0.000  0.000  0.000
W  0.434  0.434  0.000
W  0.566  0.566  0.000

Values from the calculation:
DFT total energy, eV per formula unit: -20.652
Space group: No. 139
Polymorph energy (0 for the lowest one), meV per atom: 972

=====

Record 6
Computed, not measured: a geometry-optimized Rb2YAg2 structure at the GGA-PBE level of DFT.

Unit cell a=7.894 b=7.894 c=5.908 alpha=90.00 beta=90.00 gamma=90.00
Positions (direct):
Rb  0.169  0.331  0.000
Rb  0.331  0.831  0.000
Rb  0.669  0.169  0.000
Rb  0.831  0.669  0.000
Y  0.000  0.000  0.500
Y  0.500  0.500  0.500
Ag  0.128  0.628  0.500
Ag  0.372  0.128  0.500
Ag  0.628  0.872  0.500
Ag  0.872  0.372  0.500

Values from the calculation:
DFT total energy, eV per formula unit: -12.871
Space group: No. 127

=====

Record 7
Computed, not measured: a geometry-optimized Rb2YAg structure at the GGA-PBE level of DFT.

Unit cell a=9.100 b=9.100 c=9.100 alpha=95.98 beta=95.98 gamma=142.35
Positions (direct):
Rb  0.005  0.125  0.380
Rb  0.375  0.995  0.120
Rb  0.745  0.625  0.620
Rb  0.875  0.255  0.880
Y  0.250  0.750  0.500
Y  0.500  0.500  0.000
Ag  0.000  0.000  0.000
Ag  0.750  0.250  0.500

Values from the calculation:
DFT total energy, eV per formula unit: -9.120
Space group: No. 122
Polymorph energy (0 for the lowest one), meV per atom: 0

=====

Record 8
Computed, not measured: a geometry-optimized Rb2YAg structure at the GGA-PBE level of DFT.

Unit cell a=6.361 b=6.361 c=6.361 alpha=60.00 beta=60.00 gamma=60.00
Positions (direct):
Rb  0.250  0.250  0.250
Rb  0.750  0.750  0.750
Y  0.000  0.000  0.000
Ag  0.500  0.500  0.500

Values from the calculation:
DFT total energy, eV per formula unit: -8.191
Space group: No. 225
Polymorph energy (0 for the lowest one), meV per atom: 232

=====

> Which of these has the lowest DFT total energy?

number 3

=====

> Which value of DFT total energy does entry 6 give?

-12.871 eV per formula unit

=====

> Which value of DFT total energy does entry 5 give?

-20.652 eV per formula unit

=====

> What is the formula in the first record?

Rb2AgW2